[1]
This record from Alexandria describes a relaxed structure of LiNd8Zn2. The functional is PBE.

abc: 5.236 7.164 9.547
angles: 105.14 105.92 90.00
Sites, in units of the cell vectors:
Li  0.500  0.000  0.000
Nd  0.408  0.533  0.816
Nd  0.668  0.969  0.335
Nd  0.805  0.691  0.611
Nd  0.971  0.235  0.942
Nd  0.195  0.309  0.389
Nd  0.332  0.031  0.665
Nd  0.592  0.467  0.184
Nd  0.029  0.765  0.058
Zn  0.812  0.280  0.624
Zn  0.188  0.720  0.376

Results
- formation energy (kJ/mol of atoms) = -5
- calculated volume (Å³/f.u.) = 331.44
- space-group type = C2/m
- electronic total energy (eV/atom) = -3.929


[2]
This record from Alexandria describes a relaxed structure of Ca2La8Ho3. The functional is PBE.

abc: 6.601 7.933 10.200
angles: 112.88 76.61 90.00
Sites, in units of the cell vectors:
Ca  0.727  0.656  0.311
Ca  0.273  0.344  0.689
La  0.720  0.463  0.925
La  0.280  0.537  0.075
La  0.281  0.832  0.664
La  0.719  0.168  0.336
La  0.226  0.941  0.337
La  0.226  0.395  0.337
La  0.774  0.605  0.663
La  0.774  0.059  0.663
Ho  0.500  0.000  0.000
Ho  0.000  0.193  0.000
Ho  0.000  0.807  0.000

Results
- formation energy (kJ/mol of atoms) = 16
- calculated volume (Å³/f.u.) = 476.33
- space-group type = C2/m
- electronic total energy (eV/atom) = -4.229


[3]
This record from Alexandria describes a relaxed structure of Pd2PtN. The functional is PBE.

abc: 5.093 5.093 6.465
angles: 66.80 66.80 90.00
Sites, in units of the cell vectors:
Pd  0.504  0.125  0.250
Pd  0.246  0.625  0.250
Pd  0.375  0.496  0.750
Pd  0.875  0.754  0.750
Pt  0.000  0.000  0.000
Pt  0.750  0.250  0.500
N  0.500  0.500  0.000
N  0.250  0.750  0.500

Results
- E_form (uncorrected) (meV/atom) = 827
- calculated volume (Å³/f.u.) = 69.62
- space-group type = I-42d
- electronic total energy (eV/atom) = -5.361


[4]
This record from Alexandria describes a relaxed structure of CaLaPdRu. The functional is PBE.

abc: 4.997 4.997 4.997
angles: 60.00 60.00 60.00
Sites, in units of the cell vectors:
Ru  0.750  0.750  0.750
Ca  0.000  0.000  0.000
Pd  0.250  0.250  0.250
La  0.500  0.500  0.500

Results
- formation energy (kJ/mol of atoms) = -27
- calculated volume (Å³/f.u.) = 88.24
- space-group type = F-43m
- electronic total energy (eV/atom) = -5.634


[5]
This record from Alexandria describes a relaxed structure of BeZnHRu2. The functional is PBE.

abc: 4.054 4.054 3.173
angles: 90.00 90.00 90.00
Each line ends with the local moment (μB).
Sites, in units of the cell vectors:
Ru  0.000  0.500  0.000  0.22
Ru  0.500  0.000  0.000  0.22
Zn  0.500  0.500  0.500  0.01
H  0.000  0.000  0.000  0.00
Be  0.000  0.000  0.500  -0.01

Results
- calculated volume (Å³/f.u.) = 52.15
- space-group type = P4/mmm
- electronic total energy (eV/atom) = -5.311


[6]
This record from Alexandria describes a relaxed structure of CsTi2H2. The functional is PBE.

abc: 3.702 3.702 8.009
angles: 76.64 76.64 90.00
Sites, in units of the cell vectors:
Cs  0.000  0.000  0.000
H  0.750  0.250  0.500
H  0.250  0.750  0.500
Ti  0.278  0.278  0.444
Ti  0.722  0.722  0.556

Results
- calculated volume (Å³/f.u.) = 103.76
- space-group type = I4/mmm
- electronic total energy (eV/atom) = -4.446


[7]
This record from Alexandria describes a relaxed structure of Y3Cu2Pt. The functional is PBE.

abc: 4.347 10.800 11.682
angles: 90.00 90.00 90.00
Sites, in units of the cell vectors:
Y  0.250  0.374  0.049
Y  0.750  0.626  0.951
Y  0.750  0.874  0.451
Y  0.250  0.126  0.549
Y  0.250  0.695  0.223
Y  0.750  0.305  0.777
Y  0.750  0.195  0.277
Y  0.250  0.805  0.723
Y  0.250  0.434  0.387
Y  0.750  0.566  0.613
Y  0.750  0.934  0.113
Y  0.250  0.066  0.887
Cu  0.250  0.697  0.489
Cu  0.750  0.303  0.511
Cu  0.750  0.197  0.011
Cu  0.250  0.803  0.989
Cu  0.250  0.982  0.310
Cu  0.750  0.018  0.690
Cu  0.750  0.482  0.190
Cu  0.250  0.518  0.810
Pt  0.250  0.121  0.129
Pt  0.750  0.879  0.871
Pt  0.750  0.621  0.371
Pt  0.250  0.379  0.629

Results
- formation energy (kJ/mol of atoms) = -51
- calculated volume (Å³/f.u.) = 137.11
- space-group type = Pnma
- electronic total energy (eV/atom) = -6.131


[8]
This record from Alexandria describes a relaxed structure of CoH2Ir. The functional is PBE.

abc: 2.849 2.849 5.184
angles: 74.05 74.05 60.00
Each line ends with the local moment (μB).
Sites, in units of the cell vectors:
H  0.111  0.111  0.668  -0.01
H  0.889  0.889  0.332  -0.01
Ir  0.500  0.500  0.500  0.14
Co  0.000  0.000  0.000  1.67

Results
- calculated volume (Å³/f.u.) = 34.56
- space-group type = R-3m
- electronic total energy (eV/atom) = -5.272


[9]
This record from Alexandria describes a relaxed structure of Nd3In4AgTe8. The functional is PBE.

abc: 8.938 9.320 8.938
angles: 118.67 120.00 90.00
Sites, in units of the cell vectors:
Nd  0.500  0.500  0.000
Nd  0.500  0.500  0.500
Nd  0.000  0.500  0.500
In  0.500  0.000  0.000
In  0.500  0.000  0.500
In  0.000  0.000  0.000
In  0.000  0.000  0.500
Ag  0.000  0.500  0.000
Te  0.247  0.739  0.992
Te  0.247  0.739  0.494
Te  0.254  0.263  0.509
Te  0.746  0.739  0.992
Te  0.254  0.261  0.008
Te  0.746  0.737  0.491
Te  0.753  0.261  0.506
Te  0.753  0.261  0.008

Results
- E_form (uncorrected) (meV/atom) = -741
- calculated volume (Å³/f.u.) = 536.86
- space-group type = R-3m
- electronic total energy (eV/atom) = -4.069


[10]
This record from Alexandria describes a relaxed structure of Er4IrPd. The functional is PBE.

abc: 4.805 4.806 6.799
angles: 89.98 89.99 90.00
Sites, in units of the cell vectors:
Er  0.501  0.997  0.256
Er  0.502  0.998  0.741
Er  0.002  0.498  0.741
Er  0.001  0.497  0.256
Ir  0.001  0.997  0.498
Pd  0.501  0.497  0.998

Results
- formation energy (kJ/mol of atoms) = -61
- calculated volume (Å³/f.u.) = 157.00
- space-group type = P4/mmm
- electronic total energy (eV/atom) = -6.020


[11]
This record from Alexandria describes a relaxed structure of KCd2AgHg4. The functional is PBE.

abc: 4.896 4.896 10.867
angles: 76.98 76.98 60.00
Sites, in units of the cell vectors:
K  0.000  0.000  0.000
Cd  0.764  0.764  0.708
Cd  0.236  0.236  0.292
Ag  0.500  0.500  0.500
Hg  0.397  0.397  0.808
Hg  0.866  0.866  0.400
Hg  0.134  0.134  0.600
Hg  0.603  0.603  0.192

Results
- formation energy (kJ/mol of atoms) = -5
- calculated volume (Å³/f.u.) = 217.86
- space-group type = R-3m
- electronic total energy (eV/atom) = -0.927


[12]
This record from Alexandria describes a relaxed structure of LaTb2Pm2Pr. The functional is PBE.

abc: 3.577 16.536 7.077
angles: 90.00 90.00 90.00
Sites, in units of the cell vectors:
La  0.000  0.000  0.000
La  0.500  0.500  0.500
Tb  0.500  0.157  0.250
Tb  0.000  0.657  0.250
Tb  0.500  0.843  0.750
Tb  0.000  0.343  0.750
Pm  0.500  0.840  0.251
Pm  0.500  0.160  0.749
Pm  0.000  0.660  0.751
Pm  0.000  0.340  0.249
Pr  0.500  0.500  0.000
Pr  0.000  0.000  0.500

Results
- formation energy (kJ/mol of atoms) = 15
- calculated volume (Å³/f.u.) = 209.34
- space-group type = Pnnm
- electronic total energy (eV/atom) = -4.590